{
  "formula": "PrHo3Tm4",
  "functional": "PBE",
  "state": "relaxed",
  "lattice_angstrom": [[13.030, -2.797, 0.000], [13.030, 2.797, 0.000], [-0.003, 0.000, 3.527]],
  "species": ["Pr", "Ho", "Ho", "Ho", "Tm", "Tm", "Tm", "Tm"],
  "frac_coords": [[0.000, 0.000, 0.000], [0.343, 0.343, 0.000], [0.500, 0.500, 0.500], [0.657, 0.657, 0.000], [0.106, 0.106, 0.501], [0.224, 0.224, 0.499], [0.776, 0.776, 0.501], [0.894, 0.894, 0.499]],
  "m_tot_mub_per_cell": 0.0,
  "energy_ev_per_atom": -4.314,
  "de_polymorph_ev_per_fu": 1.824,
  "space_group": "No. 12"
}